(1)
A relaxed Ce2DyPbC crystal, computed with GGA-PBE.

Summary:
The formation energy is -9.489 kcal/mol of atoms.

a b c (Å): 4.987 4.978 4.978
angles (deg): 90.00 90.00 90.00
Element x y z (fractional)
Ce 0.000 0.000 0.500
Dy 0.500 0.000 0.000
Ce 0.000 0.500 0.000
Pb 0.500 0.500 0.500
C 0.000 0.000 0.000



(2)
A relaxed Ce2Dy2Sb2C crystal, computed with GGA-PBE.

Summary:
For the formation energy without anion corrections, the calculation gives -0.77 eV per atom.

a b c (Å): 4.821 4.821 8.796
angles (deg): 105.90 105.90 90.00
Element x y z (fractional)
Ce 0.160 0.160 0.321
Sb 0.636 0.636 0.272
C 0.000 0.000 0.000
Dy 0.500 0.000 0.000
Ce 0.840 0.840 0.679
Dy 0.000 0.500 0.000
Sb 0.364 0.364 0.728



(3)
A relaxed Ce2DySiC crystal, computed with GGA-PBE.

Summary:
For the formation energy without anion corrections, the calculation gives -0.17 eV per atom.

a b c (Å): 3.621 7.409 8.363
angles (deg): 90.00 90.00 104.15
Element x y z (fractional)
Ce 0.846 0.692 0.083
Si 0.210 0.419 0.250
Ce 0.154 0.308 0.917
Ce 0.846 0.692 0.417
C 0.000 0.000 0.000
Si 0.790 0.581 0.750
Dy 0.541 0.082 0.250
C 0.000 0.000 0.500
Ce 0.154 0.308 0.583
Dy 0.459 0.918 0.750



(4)
A relaxed CeDy2SnC crystal, computed with GGA-PBE.

Summary:
The formation energy is -12.595 kcal/mol of atoms.

a b c (Å): 4.902 4.932 4.932
angles (deg): 90.00 90.00 90.00
Element x y z (fractional)
Dy 0.000 0.500 0.000
Dy 0.000 0.000 0.500
Ce 0.500 0.000 0.000
Sn 0.500 0.500 0.500
C 0.000 0.000 0.000



Number 1: density of states at the Fermi level 1.8983 states/eV per atom, total magnetization 1.37 μB per formula unit. Number 2: density of states at the Fermi level 2.2326 states/eV per atom, total magnetization 3.34 μB per formula unit. Number 3: density of states at the Fermi level 1.2164 states/eV per atom, total magnetization 0.00 μB per formula unit. Number 4: density of states at the Fermi level 1.1829 states/eV per atom, total magnetization 0.50 μB per formula unit.